The following is a DFT calculation (PBE) of LaTcOs after structural relaxation.

E_tot = -8.627 eV/atom
Crystal system = tetragonal
Magnetic moment = 0.00 μB/f.u.
Formation energy = 0.21 eV/atom
Mass density = 11.932 g/cm3
Energy relative to the lowest polymorph listed for this composition = 0.1609 eV/atom

CIF file:
```
data_LaTcOs
_chemical_formula_sum 'La2 Tc2 Os2'
_space_group_name_H-M_alt 'I 4 m m'
_space_group_IT_number 107
_space_group_name_Hall 'I 4 -2'
_cell_length_a 3.070
_cell_length_b 3.070
_cell_length_c 12.617
_cell_angle_alpha 90.00
_cell_angle_beta 90.00
_cell_angle_gamma 90.00
loop_
_atom_site_label
_atom_site_fract_x
_atom_site_fract_y
_atom_site_fract_z
La1 0.000 0.000 0.000
Tc1 0.000 0.000 0.300
Os1 0.000 0.000 0.694
```